A geometry-optimized CeThH2 structure. Source: Alexandria, functional PBE.

a = 6.628 Å, b = 6.628 Å, c = 6.628 Å
α = 30.14°, β = 30.14°, γ = 30.14°
Sites, in units of the cell vectors:
Ce: 0.000 0.000 0.000
Th: 0.829 0.829 0.829
H: 0.411 0.411 0.411
H: 0.588 0.588 0.588

## Properties
ΔE to the lowest computed polymorph	107	meV per atom
V	65.03	Å³ per cell
SG	No. 160

---

A geometry-optimized CsHf2Ir structure. Source: Alexandria, functional PBE.

a = 4.949 Å, b = 4.949 Å, c = 4.949 Å
α = 60.00°, β = 60.00°, γ = 60.00°
Sites, in units of the cell vectors:
Cs: 0.000 0.000 0.000
Hf: 0.250 0.250 0.250
Hf: 0.750 0.750 0.750
Ir: 0.500 0.500 0.500

## Properties
ΔE to the lowest computed polymorph	0	meV per atom
V	85.71	Å³ per cell
SG	No. 225
ΔE_f	0.768	eV per atom

---

A geometry-optimized CuOsRh structure. Source: Alexandria, functional PBE.

a = 7.155 Å, b = 6.916 Å, c = 2.657 Å
α = 84.23°, β = 74.08°, γ = 21.68°
Sites, in units of the cell vectors:
Cu: 0.000 0.000 0.000
Os: 0.666 0.666 0.334
Rh: 0.335 0.335 0.665

## Properties
ΔE to the lowest computed polymorph	341	meV per atom
V	42.08	Å³ per cell
SG	No. 42
ΔE_f	0.374	eV per atom

---

A geometry-optimized RbLaN3 structure. Source: Alexandria, functional PBE.

a = 4.791 Å, b = 4.791 Å, c = 4.791 Å
α = 90.00°, β = 90.00°, γ = 90.00°
Sites, in units of the cell vectors:
Rb: 0.000 0.000 0.000
La: 0.500 0.500 0.500
N: 0.000 0.500 0.500
N: 0.500 0.000 0.500
N: 0.500 0.500 0.000

## Properties
DFT total energy	-5.3047	eV per atom
V	110.00	Å³ per cell
SG	No. 221

---

What is the V in the fourth record?
110.00 Å³ per cell

---

The highest V belongs to which entry?
RbLaN3

---

Please write out number 4 again, unchanged.
A geometry-optimized RbLaN3 structure. Source: Alexandria, functional PBE.

a = 4.791 Å, b = 4.791 Å, c = 4.791 Å
α = 90.00°, β = 90.00°, γ = 90.00°
Sites, in units of the cell vectors:
Rb: 0.000 0.000 0.000
La: 0.500 0.500 0.500
N: 0.000 0.500 0.500
N: 0.500 0.000 0.500
N: 0.500 0.500 0.000

## Properties
DFT total energy	-5.3047	eV per atom
V	110.00	Å³ per cell
SG	No. 221

---

Repeat the third record exactly.
A geometry-optimized CuOsRh structure. Source: Alexandria, functional PBE.

a = 7.155 Å, b = 6.916 Å, c = 2.657 Å
α = 84.23°, β = 74.08°, γ = 21.68°
Sites, in units of the cell vectors:
Cu: 0.000 0.000 0.000
Os: 0.666 0.666 0.334
Rh: 0.335 0.335 0.665

## Properties
ΔE to the lowest computed polymorph	341	meV per atom
V	42.08	Å³ per cell
SG	No. 42
ΔE_f	0.374	eV per atom